This record from Alexandria describes a geometry-optimized FeBO3 structure. The functional is PBE with a Hubbard U.

a = 4.562 Å, b = 4.562 Å, c = 5.362 Å
α = 64.83°, β = 64.83°, γ = 59.99°
Last column: magnetic moment on the atom in μB.
Positions (direct):
B  0.750  0.750  0.750  0.00
B  0.250  0.250  0.250  0.00
Fe  0.000  0.000  0.000  1.08
Fe  0.500  0.500  0.500  1.08
O  0.053  0.446  0.750  -0.03
O  0.446  0.750  0.750  -0.03
O  0.250  0.946  0.250  -0.03
O  0.946  0.553  0.250  -0.03
O  0.554  0.250  0.250  -0.03
O  0.750  0.054  0.750  -0.03

DOS at the Fermi energy (states/eV/cell): 0.00
Electronic total energy (eV per atom): -7.03

---

This record from Alexandria describes a geometry-optimized Fe2BO structure. The functional is PBE with a Hubbard U.

a = 4.959 Å, b = 4.959 Å, c = 5.562 Å
α = 63.52°, β = 63.52°, γ = 90.00°
Last column: magnetic moment on the atom in μB.
Positions (direct):
B  0.500  0.500  0.000  -0.19
B  0.250  0.750  0.500  -0.19
Fe  0.644  0.125  0.250  3.70
Fe  0.106  0.625  0.250  3.68
Fe  0.375  0.356  0.750  3.64
Fe  0.875  0.894  0.750  3.69
O  0.000  0.000  0.000  0.16
O  0.750  0.250  0.500  0.15

DOS at the Fermi energy (states/eV/cell): 3.59
Electronic total energy (eV per atom): -5.58
Energy relative to the lowest polymorph listed for this composition (meV/atom): 0.0

---

This record from Alexandria describes a geometry-optimized FeB2O5 structure. The functional is PBE with a Hubbard U.

a = 3.633 Å, b = 3.362 Å, c = 7.480 Å
α = 71.73°, β = 81.35°, γ = 89.08°
Last column: magnetic moment on the atom in μB.
Positions (direct):
Fe  0.040  0.202  0.818  4.24
B  0.434  0.954  0.176  -0.01
B  0.934  0.455  0.175  -0.01
O  0.222  0.284  0.051  0.14
O  0.156  0.618  0.289  0.34
O  0.644  0.134  0.289  0.34
O  0.721  0.797  0.051  0.14
O  0.074  0.779  0.707  0.31

DOS at the Fermi energy (states/eV/cell): 3.43
Electronic total energy (eV per atom): -7.02

---

Question: Among the records above, which one has the lowest electronic total energy?
Answer: FeBO3

---

Repeat the second record exactly.
This record from Alexandria describes a geometry-optimized Fe2BO structure. The functional is PBE with a Hubbard U.

a = 4.959 Å, b = 4.959 Å, c = 5.562 Å
α = 63.52°, β = 63.52°, γ = 90.00°
Last column: magnetic moment on the atom in μB.
Positions (direct):
B  0.500  0.500  0.000  -0.19
B  0.250  0.750  0.500  -0.19
Fe  0.644  0.125  0.250  3.70
Fe  0.106  0.625  0.250  3.68
Fe  0.375  0.356  0.750  3.64
Fe  0.875  0.894  0.750  3.69
O  0.000  0.000  0.000  0.16
O  0.750  0.250  0.500  0.15

DOS at the Fermi energy (states/eV/cell): 3.59
Electronic total energy (eV per atom): -5.58
Energy relative to the lowest polymorph listed for this composition (meV/atom): 0.0